No. 1
GdGa2Rh, optimized geometry, DFT PBE; formation energy = -612 meV/atom; magnetization = 6.89 μB/f.u.
1.0
-3.750 -2.155 1.724
-1.864 -3.609 -2.276
0.382 -4.300 1.744
Ga Rh Gd
2 1 1
Direct
0.750 0.750 0.750
0.250 0.250 0.250
0.500 0.500 0.500
0.000 0.000 0.000


No. 2
GdGaRuRh, optimized geometry, DFT PBE; formation energy = -489 meV/atom; magnetization = 7.17 μB/f.u.
1.0
4.581 0.000 0.000
2.290 3.967 0.000
2.290 1.322 3.740
Ga Ru Rh Gd
1 1 1 1
Direct
0.500 0.500 0.500
0.750 0.750 0.750
0.250 0.250 0.250
0.000 0.000 0.000


No. 3
TbGdGaRh, optimized geometry, DFT PBE; formation energy = -650 meV/atom; magnetization = 7.07 μB/f.u.
1.0
-4.611 -0.154 -1.925
-0.781 -2.139 -4.451
-2.444 -4.352 -0.288
Gd Ga Tb Rh
1 1 1 1
Direct
0.250 0.250 0.250
0.000 0.000 0.000
0.750 0.750 0.750
0.500 0.500 0.500